Computed, not measured: an optimized crystal structure of Ba2LiSm at the GGA-PBE level of DFT.

The crystal system is tetragonal. The density of states at the Fermi level is 1.78 states/eV/atom. Its space group is No. 123. The value obtained for the energy above the lowest structure with this stoichiometry is 0.000 eV/atom. Its energy of formation is 0.75 eV/f.u.

Lattice parameters (Å, degrees): 4.165 4.165 9.942 90.00 90.00 90.00
Element x y z (fractional)
Ba: 0.000 0.000 0.228
Ba: 0.000 0.000 0.772
Li: 0.500 0.500 0.000
Sm: 0.500 0.500 0.500

Computed, not measured: an optimized crystal structure of BaLi17Sm at the GGA-PBE level of DFT.

The crystal system is trigonal. The density of states at the Fermi level is 0.73 states/eV/atom. Its space group is No. 160. Its energy of formation is 1.15 eV/f.u.

Lattice parameters (Å, degrees): 7.694 7.694 7.694 82.76 82.76 82.76
Element x y z (fractional)
Ba: 0.000 0.000 0.000
Li: 0.002 0.002 0.491
Li: 0.002 0.491 0.002
Li: 0.146 0.645 0.645
Li: 0.308 0.308 0.776
Li: 0.308 0.776 0.308
Li: 0.357 0.636 0.944
Li: 0.357 0.944 0.636
Li: 0.491 0.002 0.002
Li: 0.547 0.547 0.547
Li: 0.636 0.357 0.944
Li: 0.636 0.944 0.357
Li: 0.645 0.146 0.645
Li: 0.645 0.645 0.146
Li: 0.738 0.738 0.738
Li: 0.776 0.308 0.308
Li: 0.944 0.357 0.636
Li: 0.944 0.636 0.357
Sm: 0.306 0.306 0.306

Computed, not measured: an optimized crystal structure of Ba2Li16Sm at the GGA-PBE level of DFT.

The crystal system is trigonal. The density of states at the Fermi level is 0.68 states/eV/atom. Its space group is No. 160. Its energy of formation is 0.94 eV/f.u.

Lattice parameters (Å, degrees): 7.946 7.946 7.946 83.21 83.21 83.21
Element x y z (fractional)
Ba: 0.000 0.000 0.000
Ba: 0.304 0.304 0.304
Li: 0.161 0.645 0.645
Li: 0.310 0.310 0.789
Li: 0.310 0.789 0.310
Li: 0.357 0.647 0.935
Li: 0.357 0.935 0.647
Li: 0.497 0.994 0.994
Li: 0.549 0.549 0.549
Li: 0.645 0.161 0.645
Li: 0.645 0.645 0.161
Li: 0.647 0.357 0.935
Li: 0.647 0.935 0.357
Li: 0.789 0.310 0.310
Li: 0.935 0.357 0.647
Li: 0.935 0.647 0.357
Li: 0.994 0.497 0.994
Li: 0.994 0.994 0.497
Sm: 0.750 0.750 0.750

Computed, not measured: an optimized crystal structure of BaLi2SmSn2 at the GGA-PBE level of DFT.

The crystal system is trigonal. The density of states at the Fermi level is 0.42 states/eV/atom. Its space group is No. 164. Its energy of formation is -3.60 eV/f.u.

Lattice parameters (Å, degrees): 4.911 4.911 8.298 90.00 90.00 120.00
Element x y z (fractional)
Ba: 0.000 0.000 0.000
Li: 0.333 0.667 0.681
Li: 0.667 0.333 0.319
Sm: 0.000 0.000 0.500
Sn: 0.333 0.667 0.298
Sn: 0.667 0.333 0.702

Computed, not measured: an optimized crystal structure of BaLiSmSn at the GGA-PBE level of DFT.

The crystal system is cubic. The density of states at the Fermi level is 0.54 states/eV/atom. Its space group is No. 216. Its energy of formation is -1.23 eV/f.u.

Lattice parameters (Å, degrees): 7.998 7.998 7.998 90.00 90.00 90.00
Element x y z (fractional)
Ba: 0.000 0.000 0.000
Ba: 0.000 0.500 0.500
Ba: 0.500 0.000 0.500
Ba: 0.500 0.500 0.000
Li: 0.250 0.250 0.250
Li: 0.250 0.750 0.750
Li: 0.750 0.250 0.750
Li: 0.750 0.750 0.250
Sm: 0.000 0.000 0.500
Sm: 0.000 0.500 0.000
Sm: 0.500 0.000 0.000
Sm: 0.500 0.500 0.500
Sn: 0.250 0.250 0.750
Sn: 0.250 0.750 0.250
Sn: 0.750 0.250 0.250
Sn: 0.750 0.750 0.750

Computed, not measured: an optimized crystal structure of BaLiSmTe3 at the GGA-PBE level of DFT.

The crystal system is orthorhombic. Its raw formation energy is -8.89 eV/f.u. Its space group is No. 63.

Lattice parameters (Å, degrees): 7.888 7.888 11.690 90.00 90.00 146.13
Element x y z (fractional)
Ba: 0.249 0.751 0.750
Ba: 0.751 0.249 0.250
Li: 0.473 0.527 0.250
Li: 0.527 0.473 0.750
Sm: 0.000 0.000 0.000
Sm: 0.000 0.000 0.500
Te: 0.075 0.925 0.250
Te: 0.363 0.637 0.061
Te: 0.363 0.637 0.439
Te: 0.637 0.363 0.561
Te: 0.637 0.363 0.939
Te: 0.925 0.075 0.750

Computed, not measured: an optimized crystal structure of Ba4LiSm3Te8 at the GGA-PBE level of DFT.

The crystal system is trigonal. The density of states at the Fermi level is 0.30 states/eV/atom. Its raw formation energy is -24.60 eV/f.u. Its space group is No. 166.

Lattice parameters (Å, degrees): 9.468 9.468 9.468 59.05 59.05 59.05
Element x y z (fractional)
Ba: 0.000 0.000 0.000
Ba: 0.000 0.500 0.500
Ba: 0.500 0.000 0.500
Ba: 0.500 0.500 0.000
Li: 0.500 0.500 0.500
Sm: 0.000 0.000 0.500
Sm: 0.000 0.500 0.000
Sm: 0.500 0.000 0.000
Te: 0.240 0.240 0.240
Te: 0.240 0.739 0.739
Te: 0.261 0.261 0.760
Te: 0.261 0.760 0.261
Te: 0.739 0.240 0.739
Te: 0.739 0.739 0.240
Te: 0.760 0.261 0.261
Te: 0.760 0.760 0.760

Computed, not measured: an optimized crystal structure of BaLiSm2Te4 at the GGA-PBE level of DFT.

The crystal system is orthorhombic. The density of states at the Fermi level is 0.29 states/eV/atom. Its raw formation energy is -11.54 eV/f.u. Its space group is No. 63.

Lattice parameters (Å, degrees): 7.858 7.858 15.618 90.00 90.00 146.24
Element x y z (fractional)
Ba: 0.120 0.880 0.750
Ba: 0.880 0.120 0.250
Li: 0.152 0.848 0.250
Li: 0.848 0.152 0.750
Sm: 0.373 0.627 0.558
Sm: 0.373 0.627 0.942
Sm: 0.627 0.373 0.058
Sm: 0.627 0.373 0.442
Te: 0.000 0.000 0.000
Te: 0.000 0.000 0.500
Te: 0.268 0.732 0.115
Te: 0.268 0.732 0.385
Te: 0.444 0.556 0.750
Te: 0.556 0.444 0.250
Te: 0.732 0.268 0.615
Te: 0.732 0.268 0.885

Computed, not measured: an optimized crystal structure of BaLi2Sm2Tl2 at the GGA-PBE level of DFT.

The crystal system is trigonal. The density of states at the Fermi level is 0.92 states/eV/atom. Its space group is No. 166. Its energy of formation is -1.44 eV/f.u.

Lattice parameters (Å, degrees): 10.219 10.219 10.219 28.65 28.65 28.65
Element x y z (fractional)
Ba: 0.000 0.000 0.000
Li: 0.418 0.418 0.418
Li: 0.582 0.582 0.582
Sm: 0.131 0.131 0.131
Sm: 0.869 0.869 0.869
Tl: 0.248 0.248 0.248
Tl: 0.752 0.752 0.752

Computed, not measured: an optimized crystal structure of Ba2Li2SmTl5 at the GGA-PBE level of DFT.

The crystal system is tetragonal. The density of states at the Fermi level is 0.44 states/eV/atom. Its space group is No. 127. Its energy of formation is -3.30 eV/f.u.

Lattice parameters (Å, degrees): 12.063 12.063 4.055 90.00 90.00 90.00
Element x y z (fractional)
Ba: 0.179 0.321 0.000
Ba: 0.321 0.821 0.000
Ba: 0.679 0.179 0.000
Ba: 0.821 0.679 0.000
Li: 0.120 0.620 0.000
Li: 0.380 0.120 0.000
Li: 0.620 0.880 0.000
Li: 0.880 0.380 0.000
Sm: 0.000 0.000 0.000
Sm: 0.500 0.500 0.000
Tl: 0.000 0.500 0.500
Tl: 0.061 0.790 0.500
Tl: 0.210 0.061 0.500
Tl: 0.290 0.561 0.500
Tl: 0.439 0.290 0.500
Tl: 0.500 0.000 0.500
Tl: 0.561 0.710 0.500
Tl: 0.710 0.439 0.500
Tl: 0.790 0.939 0.500
Tl: 0.939 0.210 0.500

Computed, not measured: an optimized crystal structure of BaLiSmZn at the GGA-PBE level of DFT.

The crystal system is cubic. The density of states at the Fermi level is 1.09 states/eV/atom. Its space group is No. 216. Its energy of formation is 0.19 eV/f.u.

Lattice parameters (Å, degrees): 7.873 7.873 7.873 90.00 90.00 90.00
Element x y z (fractional)
Ba: 0.000 0.000 0.000
Ba: 0.000 0.500 0.500
Ba: 0.500 0.000 0.500
Ba: 0.500 0.500 0.000
Li: 0.250 0.250 0.750
Li: 0.250 0.750 0.250
Li: 0.750 0.250 0.250
Li: 0.750 0.750 0.750
Sm: 0.000 0.000 0.500
Sm: 0.000 0.500 0.000
Sm: 0.500 0.000 0.000
Sm: 0.500 0.500 0.500
Zn: 0.250 0.250 0.250
Zn: 0.250 0.750 0.750
Zn: 0.750 0.250 0.750
Zn: 0.750 0.750 0.250

Computed, not measured: an optimized crystal structure of BaLiSn2 at the GGA-PBE level of DFT.

The crystal system is tetragonal. The density of states at the Fermi level is 0.50 states/eV/atom. Its space group is No. 122. Its energy of formation is -1.21 eV/f.u.

Lattice parameters (Å, degrees): 5.556 5.556 18.893 90.00 90.00 90.00
Element x y z (fractional)
Ba: 0.000 0.000 0.000
Ba: 0.000 0.500 0.250
Ba: 0.500 0.000 0.750
Ba: 0.500 0.500 0.500
Li: 0.000 0.000 0.500
Li: 0.000 0.500 0.750
Li: 0.500 0.000 0.250
Li: 0.500 0.500 0.000
Sn: 0.054 0.250 0.625
Sn: 0.250 0.554 0.875
Sn: 0.250 0.946 0.375
Sn: 0.446 0.250 0.125
Sn: 0.554 0.750 0.125
Sn: 0.750 0.054 0.375
Sn: 0.750 0.446 0.875
Sn: 0.946 0.750 0.625

Computed, not measured: an optimized crystal structure of BaLiSn2 at the GGA-PBE level of DFT.

The crystal system is cubic. The density of states at the Fermi level is 0.77 states/eV/atom. Its space group is No. 225. Its energy of formation is -1.22 eV/f.u.

Lattice parameters (Å, degrees): 7.894 7.894 7.894 90.00 90.00 90.00
Element x y z (fractional)
Ba: 0.000 0.000 0.000
Ba: 0.000 0.500 0.500
Ba: 0.500 0.000 0.500
Ba: 0.500 0.500 0.000
Li: 0.000 0.000 0.500
Li: 0.000 0.500 0.000
Li: 0.500 0.000 0.000
Li: 0.500 0.500 0.500
Sn: 0.250 0.250 0.250
Sn: 0.250 0.250 0.750
Sn: 0.250 0.750 0.250
Sn: 0.250 0.750 0.750
Sn: 0.750 0.250 0.250
Sn: 0.750 0.250 0.750
Sn: 0.750 0.750 0.250
Sn: 0.750 0.750 0.750

Computed, not measured: an optimized crystal structure of BaLi2Sn2 at the GGA-PBE level of DFT.

The crystal system is tetragonal. The density of states at the Fermi level is 0.46 states/eV/atom. Its space group is No. 127. The value obtained for the energy above the lowest structure with this stoichiometry is 0.084 eV/atom. Its energy of formation is -2.02 eV/f.u.

Lattice parameters (Å, degrees): 8.844 8.844 3.295 90.00 90.00 90.00
Element x y z (fractional)
Ba: 0.000 0.000 0.000
Ba: 0.500 0.500 0.000
Li: 0.120 0.380 0.000
Li: 0.380 0.880 0.000
Li: 0.620 0.120 0.000
Li: 0.880 0.620 0.000
Sn: 0.167 0.667 0.500
Sn: 0.333 0.167 0.500
Sn: 0.667 0.833 0.500
Sn: 0.833 0.333 0.500

Computed, not measured: an optimized crystal structure of BaLi2Sn6 at the GGA-PBE level of DFT.

The crystal system is cubic. The density of states at the Fermi level is 0.71 states/eV/atom. Its space group is No. 227. Its energy of formation is 0.35 eV/f.u.

Lattice parameters (Å, degrees): 9.212 9.212 9.212 60.00 60.00 60.00
Element x y z (fractional)
Ba: 0.125 0.125 0.125
Ba: 0.875 0.875 0.875
Li: 0.000 0.500 0.500
Li: 0.500 0.000 0.500
Li: 0.500 0.500 0.000
Li: 0.500 0.500 0.500
Sn: 0.150 0.150 0.600
Sn: 0.150 0.600 0.150
Sn: 0.150 0.600 0.600
Sn: 0.400 0.400 0.850
Sn: 0.400 0.850 0.400
Sn: 0.400 0.850 0.850
Sn: 0.600 0.150 0.150
Sn: 0.600 0.150 0.600
Sn: 0.600 0.600 0.150
Sn: 0.850 0.400 0.400
Sn: 0.850 0.400 0.850
Sn: 0.850 0.850 0.400

Computed, not measured: an optimized crystal structure of BaLi6Sn12 at the GGA-PBE level of DFT.

The crystal system is trigonal. The density of states at the Fermi level is 0.42 states/eV/atom. Its space group is No. 166. Its energy of formation is -4.05 eV/f.u.

Lattice parameters (Å, degrees): 8.123 8.123 8.123 104.16 104.16 104.16
Element x y z (fractional)
Ba: 0.000 0.000 0.000
Li: 0.282 0.282 0.713
Li: 0.282 0.713 0.282
Li: 0.287 0.718 0.718
Li: 0.713 0.282 0.282
Li: 0.718 0.287 0.718
Li: 0.718 0.718 0.287
Sn: 0.114 0.500 0.886
Sn: 0.114 0.886 0.500
Sn: 0.149 0.405 0.405
Sn: 0.405 0.149 0.405
Sn: 0.405 0.405 0.149
Sn: 0.500 0.114 0.886
Sn: 0.500 0.886 0.114
Sn: 0.595 0.595 0.851
Sn: 0.595 0.851 0.595
Sn: 0.851 0.595 0.595
Sn: 0.886 0.114 0.500
Sn: 0.886 0.500 0.114

Computed, not measured: an optimized crystal structure of BaLi2Sn4 at the GGA-PBE level of DFT.

The crystal system is tetragonal. The density of states at the Fermi level is 0.58 states/eV/atom. Its space group is No. 136. Its energy of formation is -2.19 eV/f.u.

Lattice parameters (Å, degrees): 8.687 8.687 4.993 90.00 90.00 90.00
Element x y z (fractional)
Ba: 0.000 0.000 0.000
Ba: 0.500 0.500 0.500
Li: 0.214 0.214 0.500
Li: 0.286 0.714 0.000
Li: 0.714 0.286 0.000
Li: 0.786 0.786 0.500
Sn: 0.091 0.662 0.500
Sn: 0.162 0.409 0.000
Sn: 0.338 0.909 0.500
Sn: 0.409 0.162 0.000
Sn: 0.591 0.838 0.000
Sn: 0.662 0.091 0.500
Sn: 0.838 0.591 0.000
Sn: 0.909 0.338 0.500

Computed, not measured: an optimized crystal structure of Ba2LiSn2 at the GGA-PBE level of DFT.

The crystal system is monoclinic. The density of states at the Fermi level is 0.53 states/eV/atom. Its space group is No. 12. The value obtained for the energy above the lowest structure with this stoichiometry is 0.101 eV/atom. Its energy of formation is -2.40 eV/f.u.

Lattice parameters (Å, degrees): 7.888 7.888 9.908 92.63 92.63 35.36
Element x y z (fractional)
Ba: 0.018 0.018 0.246
Ba: 0.228 0.228 0.694
Ba: 0.772 0.772 0.306
Ba: 0.982 0.982 0.754
Li: 0.201 0.201 0.030
Li: 0.799 0.799 0.970
Sn: 0.395 0.395 0.007
Sn: 0.407 0.407 0.487
Sn: 0.593 0.593 0.513
Sn: 0.605 0.605 0.993

Computed, not measured: an optimized crystal structure of BaLiSn2 at the GGA-PBE level of DFT.

The crystal system is trigonal. The density of states at the Fermi level is 0.44 states/eV/atom. Its space group is No. 166. Its energy of formation is -2.03 eV/f.u.

Lattice parameters (Å, degrees): 4.719 4.719 18.982 90.00 90.00 120.00
Element x y z (fractional)
Ba: 0.000 0.000 0.000
Ba: 0.333 0.667 0.667
Ba: 0.667 0.333 0.333
Li: 0.000 0.000 0.500
Li: 0.333 0.667 0.167
Li: 0.667 0.333 0.833
Sn: 0.000 0.000 0.210
Sn: 0.000 0.000 0.790
Sn: 0.333 0.667 0.457
Sn: 0.333 0.667 0.877
Sn: 0.667 0.333 0.123
Sn: 0.667 0.333 0.543

Computed, not measured: an optimized crystal structure of Ba2Li15Sn2 at the GGA-PBE level of DFT.

The crystal system is trigonal. The density of states at the Fermi level is 0.50 states/eV/atom. Its space group is No. 166. Its energy of formation is -2.19 eV/f.u.

Lattice parameters (Å, degrees): 7.720 7.720 7.720 85.43 85.43 85.43
Element x y z (fractional)
Ba: 0.149 0.149 0.149
Ba: 0.851 0.851 0.851
Li: 0.000 0.500 0.500
Li: 0.157 0.157 0.622
Li: 0.157 0.622 0.157
Li: 0.239 0.500 0.761
Li: 0.239 0.761 0.500
Li: 0.378 0.843 0.843
Li: 0.500 0.000 0.500
Li: 0.500 0.239 0.761
Li: 0.500 0.500 0.000
Li: 0.500 0.761 0.239
Li: 0.622 0.157 0.157
Li: 0.761 0.239 0.500
Li: 0.761 0.500 0.239
Li: 0.843 0.378 0.843
Li: 0.843 0.843 0.378
Sn: 0.395 0.395 0.395
Sn: 0.605 0.605 0.605